Here is a relaxed structure of Sr2SnGeBr from Alexandria via LeMat-Bulk. Energies are from GGA-PBE.

a = 5.813 Å, b = 5.813 Å, c = 5.597 Å
α = 90.00°, β = 90.00°, γ = 90.00°
Space group P4/mmm (No. 123)
One atom of each set of equivalent atoms:
Sr (0.000, 0.500, 0.000)
Sn (0.000, 0.000, 0.500)
Ge (0.500, 0.500, 0.500)
Br (0.000, 0.000, 0.000)

Here is a relaxed structure of Tc2SnGeBr from Alexandria via LeMat-Bulk. Energies are from GGA-PBE.

a = 4.805 Å, b = 4.805 Å, c = 5.280 Å
α = 90.00°, β = 90.00°, γ = 90.00°
Space group P4/mmm (No. 123)
One atom of each set of equivalent atoms:
Tc (0.000, 0.500, 0.000)
Sn (0.000, 0.000, 0.500)
Ge (0.500, 0.500, 0.000)
Br (0.500, 0.500, 0.500)

Here is a relaxed structure of TcSnGe2Br from Alexandria via LeMat-Bulk. Energies are from GGA-PBE.

a = 4.818 Å, b = 4.818 Å, c = 5.264 Å
α = 90.00°, β = 90.00°, γ = 90.00°
Space group P4/mmm (No. 123)
One atom of each set of equivalent atoms:
Tc (0.000, 0.000, 0.000)
Sn (0.000, 0.000, 0.500)
Ge (0.000, 0.500, 0.000)
Br (0.500, 0.500, 0.500)

Here is a relaxed structure of TlSn2GeBr8 from Alexandria via LeMat-Bulk. Energies are from GGA-PBE.

a = 6.878 Å, b = 7.132 Å, c = 8.692 Å
α = 89.95°, β = 89.96°, γ = 88.67°
Space group P-1 (No. 2)
One atom of each set of equivalent atoms:
Tl (0.000, 0.000, 0.000)
Sn (0.500, 0.500, 0.259)
Ge (0.000, 0.000, 0.500)
Br (0.234, 0.820, 0.283)
Br (0.234, 0.820, 0.717)
Br (0.252, 0.304, 0.500)
Br (0.287, 0.348, 0.001)

Here is a relaxed structure of Tl2SnGeBr6 from Alexandria via LeMat-Bulk. Energies are from GGA-PBE.

a = 7.645 Å, b = 8.128 Å, c = 13.488 Å
α = 90.00°, β = 124.36°, γ = 90.00°
Space group P2_1/c (No. 14)
One atom of each set of equivalent atoms:
Tl (0.220, 0.078, 0.249)
Sn (0.500, 0.000, 0.000)
Ge (0.000, 0.000, 0.500)
Br (0.135, 0.207, 0.949)
Br (0.250, 0.692, 0.950)
Br (0.345, 0.025, 0.743)

Here is a relaxed structure of TlSnGe2Br8 from Alexandria via LeMat-Bulk. Energies are from GGA-PBE.

a = 6.966 Å, b = 7.167 Å, c = 9.156 Å
α = 85.37°, β = 85.36°, γ = 84.32°
Space group P-1 (No. 2)
One atom of each set of equivalent atoms:
Tl (0.000, 0.000, 0.000)
Sn (0.000, 0.000, 0.500)
Ge (0.443, 0.454, 0.251)
Br (0.234, 0.806, 0.711)
Br (0.236, 0.805, 0.286)
Br (0.251, 0.305, 0.474)
Br (0.289, 0.340, 0.044)

Here is a relaxed structure of VSnGeBr2 from Alexandria via LeMat-Bulk. Energies are from GGA-PBE.

a = 4.853 Å, b = 4.853 Å, c = 5.848 Å
α = 90.00°, β = 90.00°, γ = 90.00°
Space group P4/mmm (No. 123)
One atom of each set of equivalent atoms:
V (0.000, 0.000, 0.000)
Sn (0.000, 0.000, 0.500)
Ge (0.500, 0.500, 0.500)
Br (0.000, 0.500, 0.000)

Here is a relaxed structure of YSnGeBr2 from Alexandria via LeMat-Bulk. Energies are from GGA-PBE.

a = 5.344 Å, b = 5.344 Å, c = 6.477 Å
α = 90.00°, β = 90.00°, γ = 90.00°
Space group P4/mmm (No. 123)
One atom of each set of equivalent atoms:
Y (0.000, 0.000, 0.000)
Sn (0.000, 0.000, 0.500)
Ge (0.500, 0.500, 0.500)
Br (0.000, 0.500, 0.000)

| no. | total moment (μB per atom) | raw formation energy (eV/atom) |
| --- | --- | --- |
| 1 | 0.000 | -0.16 |
| 2 | 0.952 | 1.19 |
| 3 | 0.000 | -0.15 |
| 4 | 0.000 | -0.65 |
| 5 | 0.000 | -0.75 |
| 6 | 0.000 | -0.61 |
| 7 | 0.428 | 0.22 |
| 8 | 0.000 | -0.27 |